Density functional theory data (PBE+U) for a relaxed Ba3Co2O8 crystal.

Unit cell a=8.111 b=8.111 c=8.111 alpha=41.27 beta=41.27 gamma=41.27
Fractional positions:
Ba 0.000 0.000 0.000
Ba 0.209 0.209 0.209
Ba 0.791 0.791 0.791
Co 0.407 0.407 0.407
Co 0.593 0.593 0.593
O 0.235 0.730 0.730
O 0.270 0.270 0.765
O 0.270 0.765 0.270
O 0.328 0.328 0.328
O 0.672 0.672 0.672
O 0.730 0.235 0.730
O 0.730 0.730 0.235
O 0.765 0.270 0.270

Results
calculated total energy = -5.92 eV per atom
space-group type = No. 166
DOS(E_F) = 7.18 states/eV/cell